DFT (PBE+U) results for CsCoOsO6 after structural relaxation.

Calculated values
The volume is 151.14 Å³/cell. The calculation puts the calculated total energy at -0.4626 Ry/atom. The total magnetization comes out at 0.000 μB per atom. The space group is P312, No. 149.

Lattice parameters (Å, degrees): 5.1082 5.1082 6.6880 90.00 90.00 120.00
Closest atoms and distances in Å follow each position.
Positions (direct):
Cs1 0.0000 0.0000 0.0000  6 O 3.05
Co1 0.3333 0.6667 0.5000  6 O 1.90
Os1 0.6667 0.3333 0.5000  6 O 1.88
O1 0.3930 0.0031 0.6566  1 Os 1.88, 1 Co 1.90
O2 0.3930 0.3898 0.3434  1 Os 1.88, 1 Co 1.90
O3 0.6102 0.0031 0.3434  1 Os 1.88, 1 Co 1.90
O4 0.6102 0.6070 0.6566  1 Os 1.88, 1 Co 1.90
O5 0.9969 0.3898 0.6566  1 Os 1.88, 1 Co 1.90
O6 0.9969 0.6070 0.3434  1 Os 1.88, 1 Co 1.90